Model w:
A plane-wave DFT calculation with PBEsol was carried out for crystalline Sr2CoOs at its relaxed geometry.

a b c (Å): 5.8163 5.8163 5.8163
angles (deg): 139.81 128.98 66.86
With the nearest neighbours (Å) after each atom.
Sites, in units of the cell vectors:
Sr: 0.0000 0.0000 0.0000  2 Co 3.14, 4 Sr 3.22-3.46, 4 Os 3.34
Sr: 0.7091 0.2091 0.5000  2 Os 3.13, 4 Sr 3.22-3.46, 4 Co 3.34
Co: 0.3046 0.8046 0.5000  2 Os 2.21
Os: 0.4028 0.4028 0.0000  2 Co 2.21


Model x:
A plane-wave DFT calculation with PBEsol was carried out for crystalline Sr2CoOs at its relaxed geometry.

a b c (Å): 3.3266 3.3266 8.8398
angles (deg): 90.00 90.00 90.00
With the nearest neighbours (Å) after each atom.
Sites, in units of the cell vectors:
Sr: 0.0000 0.0000 0.0000  1 Co 2.95, 4 Os 3.23
Sr: 0.5000 0.5000 0.4173  1 Os 2.93, 4 Co 3.22
Co: 0.0000 0.0000 0.6663  4 Os 2.46
Os: 0.5000 0.5000 0.7490  4 Co 2.46


Of them, the most stable is model w and the least stable is model x.